Model a:
{
  "formula": "GaSiRu3",
  "functional": "PBE",
  "state": "optimized geometry",
  "magnetic_moment_mub_per_fu": 1.0,
  "mass_density_g_cm3": 7.9,
  "dos_ef_per_ev_cell": 6.19,
  "cell": [[-1.592, -2.256, -3.405], [1.407, -3.734, 1.815], [-3.835, -0.434, 2.080]],
  "species": ["Ru", "Ru", "Ru", "Si", "Ga"],
  "frac_coords": [[0.000, 0.500, 0.000], [0.000, 0.000, 0.500], [0.500, 0.000, 0.000], [0.000, 0.000, 0.000], [0.500, 0.500, 0.500]]
}

***

Model b:
{
  "formula": "GaSiRu3",
  "functional": "PBE",
  "state": "optimized geometry",
  "magnetic_moment_mub_per_fu": 0.9,
  "mass_density_g_cm3": 7.6,
  "dos_ef_per_ev_cell": 8.25,
  "cell": [[-2.115, -0.861, 3.817], [0.917, -4.327, -0.468], [3.804, 0.565, 2.235]],
  "species": ["Ru", "Ru", "Ru", "Si", "Ga"],
  "frac_coords": [[0.000, 0.500, 0.000], [0.000, 0.000, 0.500], [0.500, 0.000, 0.000], [0.500, 0.500, 0.500], [0.000, 0.000, 0.000]]
}

***

Top of the stability list: model a, leading by 802 meV per atom.

***

Model a:
{
  "formula": "GaSi2Ru2",
  "functional": "PBE",
  "state": "optimized geometry",
  "magnetic_moment_mub_per_fu": 0.0,
  "mass_density_g_cm3": 7.7,
  "dos_ef_per_ev_cell": 6.41,
  "cell": [[6.956, 0.000, 0.000], [0.000, 6.956, 0.000], [0.000, 0.000, 2.926]],
  "species": ["Ru", "Ru", "Ru", "Ru", "Si", "Si", "Si", "Si", "Ga", "Ga"],
  "frac_coords": [[0.346, 0.846, 0.000], [0.846, 0.654, 0.000], [0.654, 0.154, 0.000], [0.154, 0.346, 0.000], [0.140, 0.640, 0.500], [0.640, 0.860, 0.500], [0.860, 0.360, 0.500], [0.360, 0.140, 0.500], [0.000, 0.000, 0.000], [0.500, 0.500, 0.000]]
}

***

Model b:
{
  "formula": "GaSi2Ru2",
  "functional": "PBE",
  "state": "optimized geometry",
  "magnetic_moment_mub_per_fu": 0.0,
  "mass_density_g_cm3": 7.1,
  "dos_ef_per_ev_cell": 1.60,
  "cell": [[3.682, 0.000, 0.000], [0.000, 3.682, 0.000], [0.000, 0.000, 5.632]],
  "species": ["Ga", "Si", "Si", "Ru", "Ru"],
  "frac_coords": [[0.000, 0.000, 0.000], [0.500, 0.000, 0.500], [0.000, 0.500, 0.500], [0.500, 0.500, 0.764], [0.500, 0.500, 0.236]]
}

***

Model c:
{
  "formula": "GaSi2Ru2",
  "functional": "PBE",
  "state": "optimized geometry",
  "magnetic_moment_mub_per_fu": 0.0,
  "mass_density_g_cm3": 7.7,
  "dos_ef_per_ev_cell": 7.23,
  "cell": [[-1.857, -6.659, 1.380], [4.324, -2.260, -5.087], [2.115, -0.199, 1.886]],
  "species": ["Ru", "Ru", "Ru", "Ru", "Si", "Si", "Si", "Si", "Ga", "Ga"],
  "frac_coords": [[0.156, 0.656, 0.500], [0.656, 0.844, 0.500], [0.844, 0.344, 0.500], [0.344, 0.156, 0.500], [0.364, 0.864, 0.000], [0.864, 0.636, 0.000], [0.636, 0.136, 0.000], [0.136, 0.364, 0.000], [0.000, 0.000, 0.000], [0.500, 0.500, 0.000]]
}

***

Model d:
{
  "formula": "GaSi2Ru2",
  "functional": "PBE",
  "state": "optimized geometry",
  "magnetic_moment_mub_per_fu": 0.0,
  "mass_density_g_cm3": 7.4,
  "dos_ef_per_ev_cell": 1.87,
  "cell": [[-1.056, 0.525, -3.288], [-3.246, -0.929, 0.894], [-3.431, 5.553, 0.134]],
  "species": ["Ru", "Ru", "Si", "Si", "Ga"],
  "frac_coords": [[0.386, 0.386, 0.228], [0.614, 0.614, 0.772], [0.750, 0.250, 0.500], [0.250, 0.750, 0.500], [0.000, 0.000, 0.000]]
}

***

Top of the stability list: model d, leading by 47 meV per atom.

***

Model a:
{
  "formula": "SmGa3Ru",
  "functional": "PBE",
  "state": "optimized geometry",
  "magnetic_moment_mub_per_fu": 0.0,
  "mass_density_g_cm3": 7.2,
  "dos_ef_per_ev_cell": 1.71,
  "cell": [[-4.534, -0.634, -1.198], [-0.685, -2.538, 3.935], [-1.170, 3.943, 2.340]],
  "species": ["Ru", "Ga", "Ga", "Ga", "Sm"],
  "frac_coords": [[0.000, 0.000, 0.000], [0.000, 0.500, 0.000], [0.000, 0.000, 0.500], [0.500, 0.000, 0.000], [0.500, 0.500, 0.500]]
}

***

Model b:
{
  "formula": "SmGa3Ru",
  "functional": "PBE",
  "state": "optimized geometry",
  "magnetic_moment_mub_per_fu": 0.0,
  "mass_density_g_cm3": 7.4,
  "dos_ef_per_ev_cell": 15.20,
  "cell": [[5.796, 0.000, 0.000], [0.000, 7.566, 0.000], [0.000, 0.000, 9.467]],
  "species": ["Sm", "Sm", "Sm", "Sm", "Ga", "Ga", "Ga", "Ga", "Ga", "Ga", "Ga", "Ga", "Ga", "Ga", "Ga", "Ga", "Ru", "Ru", "Ru", "Ru"],
  "frac_coords": [[0.500, 0.399, 0.750], [0.000, 0.899, 0.250], [0.500, 0.601, 0.250], [0.000, 0.101, 0.750], [0.750, 0.250, 0.051], [0.750, 0.750, 0.551], [0.750, 0.750, 0.949], [0.250, 0.750, 0.551], [0.250, 0.750, 0.949], [0.250, 0.250, 0.449], [0.250, 0.250, 0.051], [0.750, 0.250, 0.449], [0.500, 0.956, 0.750], [0.000, 0.456, 0.250], [0.500, 0.044, 0.250], [0.000, 0.544, 0.750], [0.000, 0.500, 0.000], [0.500, 0.000, 0.500], [0.500, 0.000, 0.000], [0.000, 0.500, 0.500]]
}

***

Top of the stability list: model b, leading by 32 meV per atom.

***

Model a:
{
  "formula": "Sm3GaRu",
  "functional": "PBE",
  "state": "optimized geometry",
  "magnetic_moment_mub_per_fu": 0.0,
  "mass_density_g_cm3": 8.2,
  "dos_ef_per_ev_cell": 7.19,
  "cell": [[5.699, 0.151, -1.195], [-2.565, 5.092, -1.195], [-0.076, -0.129, 8.618]],
  "species": ["Sm", "Sm", "Sm", "Sm", "Sm", "Sm", "Ga", "Ga", "Ru", "Ru"],
  "frac_coords": [[0.304, 0.804, 0.108], [0.696, 0.196, 0.892], [0.085, 0.207, 0.292], [0.915, 0.793, 0.708], [0.707, 0.585, 0.292], [0.293, 0.415, 0.708], [0.692, 0.192, 0.500], [0.308, 0.808, 0.500], [0.250, 0.250, 0.000], [0.750, 0.750, 0.000]]
}

***

Model b:
{
  "formula": "Sm3GaRu",
  "functional": "PBE",
  "state": "optimized geometry",
  "magnetic_moment_mub_per_fu": 0.0,
  "mass_density_g_cm3": 7.9,
  "dos_ef_per_ev_cell": 8.09,
  "cell": [[-1.744, 4.272, 0.797], [-3.432, -4.850, 4.751], [4.896, 0.886, 5.954]],
  "species": ["Sm", "Sm", "Sm", "Sm", "Sm", "Sm", "Ga", "Ga", "Ru", "Ru"],
  "frac_coords": [[0.067, 0.167, 0.423], [0.405, 0.844, 0.641], [0.639, 0.310, 0.781], [0.977, 0.987, 0.998], [0.259, 0.550, 0.027], [0.785, 0.604, 0.395], [0.431, 0.894, 0.246], [0.613, 0.260, 0.175], [0.217, 0.467, 0.623], [0.827, 0.687, 0.799]]
}

***

Top of the stability list: model a, leading by 39 meV per atom.

***

Model a:
{
  "formula": "SmGa3Ru3",
  "functional": "PBE",
  "state": "optimized geometry",
  "magnetic_moment_mub_per_fu": 2.1,
  "mass_density_g_cm3": 5.4,
  "dos_ef_per_ev_cell": 15.56,
  "cell": [[7.188, 0.000, 4.150], [2.396, 6.777, 4.150], [0.000, 0.000, 8.300]],
  "species": ["Sm", "Sm", "Ga", "Ga", "Ga", "Ga", "Ga", "Ga", "Ru", "Ru", "Ru", "Ru", "Ru", "Ru"],
  "frac_coords": [[0.250, 0.250, 0.250], [0.750, 0.750, 0.750], [0.346, 0.654, 0.346], [0.346, 0.654, 0.654], [0.346, 0.346, 0.654], [0.654, 0.346, 0.654], [0.654, 0.346, 0.346], [0.654, 0.654, 0.346], [0.149, 0.851, 0.851], [0.149, 0.851, 0.149], [0.149, 0.149, 0.851], [0.851, 0.149, 0.851], [0.851, 0.149, 0.149], [0.851, 0.851, 0.149]]
}

***

Model b:
{
  "formula": "SmGa3Ru3",
  "functional": "PBE",
  "state": "optimized geometry",
  "magnetic_moment_mub_per_fu": 0.0,
  "mass_density_g_cm3": 7.3,
  "dos_ef_per_ev_cell": 10.86,
  "cell": [[-6.161, 0.108, -2.617], [2.544, -1.343, -6.045], [-0.622, -6.558, 1.195]],
  "species": ["Ru", "Ru", "Ru", "Ru", "Ru", "Ru", "Ga", "Ga", "Ga", "Ga", "Ga", "Ga", "Sm", "Sm"],
  "frac_coords": [[0.000, 0.250, 0.500], [0.000, 0.750, 0.500], [0.500, 0.000, 0.750], [0.750, 0.500, 0.000], [0.500, 0.000, 0.250], [0.250, 0.500, 0.000], [0.250, 0.000, 0.500], [0.000, 0.500, 0.250], [0.500, 0.750, 0.000], [0.750, 0.000, 0.500], [0.000, 0.500, 0.750], [0.500, 0.250, 0.000], [0.500, 0.500, 0.500], [0.000, 0.000, 0.000]]
}

***

Top of the stability list: model b, leading by 668 meV per atom.

***

Model a:
{
  "formula": "TbSmGaRu",
  "functional": "PBE",
  "state": "optimized geometry",
  "magnetic_moment_mub_per_fu": 0.0,
  "mass_density_g_cm3": 9.0,
  "dos_ef_per_ev_cell": 2.43,
  "cell": [[4.998, 0.000, 0.000], [2.499, 4.329, 0.000], [2.499, 1.443, 4.081]],
  "species": ["Ru", "Tb", "Ga", "Sm"],
  "frac_coords": [[0.250, 0.250, 0.250], [0.000, 0.000, 0.000], [0.750, 0.750, 0.750], [0.500, 0.500, 0.500]]
}

***

Model b:
{
  "formula": "TbSmGaRu",
  "functional": "PBE",
  "state": "optimized geometry",
  "magnetic_moment_mub_per_fu": 0.0,
  "mass_density_g_cm3": 8.5,
  "dos_ef_per_ev_cell": 3.43,
  "cell": [[-2.658, 2.690, 1.275], [-0.070, -1.912, 3.890], [5.360, 1.857, 1.009]],
  "species": ["Tb", "Sm", "Ga", "Ru"],
  "frac_coords": [[0.860, 0.500, 0.720], [0.143, 0.000, 0.286], [0.565, 0.500, 0.129], [0.433, 0.000, 0.865]]
}

***

Top of the stability list: model b, leading by 57 meV per atom.

***

Model a:
{
  "formula": "SmYGaRu",
  "functional": "PBE",
  "state": "optimized geometry",
  "magnetic_moment_mub_per_fu": 0.0,
  "mass_density_g_cm3": 7.3,
  "dos_ef_per_ev_cell": 3.72,
  "cell": [[3.970, 0.000, 0.000], [0.000, 4.370, 0.000], [-1.985, 0.000, 5.380]],
  "species": ["Sm", "Y", "Ga", "Ru"],
  "frac_coords": [[0.143, 0.000, 0.287], [0.859, 0.500, 0.719], [0.564, 0.500, 0.129], [0.433, 0.000, 0.866]]
}

***

Model b:
{
  "formula": "SmYGaRu",
  "functional": "PBE",
  "state": "optimized geometry",
  "magnetic_moment_mub_per_fu": 0.0,
  "mass_density_g_cm3": 7.7,
  "dos_ef_per_ev_cell": 2.39,
  "cell": [[4.994, 0.000, 0.000], [2.497, 4.325, 0.000], [2.497, 1.442, 4.078]],
  "species": ["Y", "Ru", "Ga", "Sm"],
  "frac_coords": [[0.500, 0.500, 0.500], [0.750, 0.750, 0.750], [0.250, 0.250, 0.250], [0.000, 0.000, 0.000]]
}

***

Top of the stability list: model a, leading by 49 meV per atom.

***

Model a:
{
  "formula": "GaSn3Ru",
  "functional": "PBE",
  "state": "optimized geometry",
  "magnetic_moment_mub_per_fu": 2.0,
  "mass_density_g_cm3": 6.2,
  "dos_ef_per_ev_cell": 5.83,
  "cell": [[-3.535, 1.135, 3.650], [3.330, -1.528, 3.700], [1.878, 4.846, 0.311]],
  "species": ["Ru", "Sn", "Sn", "Sn", "Ga"],
  "frac_coords": [[0.500, 0.500, 0.500], [0.000, 0.500, 0.000], [0.000, 0.000, 0.500], [0.500, 0.000, 0.000], [0.000, 0.000, 0.000]]
}

***

Model b:
{
  "formula": "GaSn3Ru",
  "functional": "PBE",
  "state": "optimized geometry",
  "magnetic_moment_mub_per_fu": 0.0,
  "mass_density_g_cm3": 6.3,
  "dos_ef_per_ev_cell": 3.56,
  "cell": [[-4.644, 2.132, 0.819], [-2.075, -3.163, -3.532], [-0.955, -3.498, 3.693]],
  "species": ["Ru", "Sn", "Sn", "Sn", "Ga"],
  "frac_coords": [[0.000, 0.000, 0.000], [0.000, 0.500, 0.000], [0.000, 0.000, 0.500], [0.500, 0.000, 0.000], [0.500, 0.500, 0.500]]
}

***

Top of the stability list: model b, leading by 931 meV per atom.

***

Model a:
{
  "formula": "GaSnRu2",
  "functional": "PBE",
  "state": "optimized geometry",
  "magnetic_moment_mub_per_fu": 0.0,
  "mass_density_g_cm3": 10.1,
  "dos_ef_per_ev_cell": 1.66,
  "cell": [[0.000, 3.180, 3.180], [3.180, 0.000, 3.180], [3.180, 3.180, 0.000]],
  "species": ["Ru", "Ru", "Sn", "Ga"],
  "frac_coords": [[0.250, 0.250, 0.250], [0.750, 0.750, 0.750], [0.500, 0.500, 0.500], [0.000, 0.000, 0.000]]
}

***

Model b:
{
  "formula": "GaSnRu2",
  "functional": "PBE",
  "state": "optimized geometry",
  "magnetic_moment_mub_per_fu": 0.0,
  "mass_density_g_cm3": 10.5,
  "dos_ef_per_ev_cell": 2.43,
  "cell": [[-0.300, 0.684, 3.071], [0.023, -4.316, 0.964], [4.403, 0.113, 0.404]],
  "species": ["Ru", "Ru", "Sn", "Ga"],
  "frac_coords": [[0.000, 0.000, 0.500], [0.000, 0.500, 0.000], [0.500, 0.000, 0.000], [0.500, 0.500, 0.500]]
}

***

Top of the stability list: model a, leading by 6 meV per atom.

***

Model a:
{
  "formula": "GaSnRu2",
  "functional": "PBE",
  "state": "optimized geometry",
  "magnetic_moment_mub_per_fu": 0.0,
  "mass_density_g_cm3": 9.1,
  "dos_ef_per_ev_cell": 5.12,
  "cell": [[4.867, -1.674, -2.910], [-1.424, 4.946, 2.910], [-3.393, 0.123, 4.840]],
  "species": ["Ga", "Sn", "Ru", "Ru"],
  "frac_coords": [[0.000, 0.000, 0.000], [0.000, 0.500, 0.500], [0.000, 0.230, 0.230], [0.000, 0.770, 0.770]]
}

***

Model b:
{
  "formula": "GaSnRu2",
  "functional": "PBE",
  "state": "optimized geometry",
  "magnetic_moment_mub_per_fu": 1.1,
  "mass_density_g_cm3": 9.3,
  "dos_ef_per_ev_cell": 10.88,
  "cell": [[-2.281, -3.792, -5.334], [-4.508, -3.185, 4.192], [-5.392, -1.447, -1.168]],
  "species": ["Ru", "Ru", "Ru", "Ru", "Sn", "Sn", "Ga", "Ga"],
  "frac_coords": [[0.597, 0.125, 0.250], [0.153, 0.625, 0.250], [0.375, 0.403, 0.750], [0.875, 0.847, 0.750], [0.000, 0.000, 0.000], [0.750, 0.250, 0.500], [0.500, 0.500, 0.000], [0.250, 0.750, 0.500]]
}

***

Model c:
{
  "formula": "GaSnRu2",
  "functional": "PBE",
  "state": "optimized geometry",
  "magnetic_moment_mub_per_fu": 0.0,
  "mass_density_g_cm3": 10.5,
  "dos_ef_per_ev_cell": 4.47,
  "cell": [[-0.482, -0.540, 3.055], [2.965, -0.991, 0.293], [1.818, 5.828, 1.317]],
  "species": ["Ru", "Ru", "Sn", "Ga"],
  "frac_coords": [[0.000, 0.000, 0.762], [0.000, 0.000, 0.238], [0.500, 0.500, 0.500], [0.500, 0.500, 0.000]]
}

***

Top of the stability list: model c, leading by 575 meV per atom.

***

Model a:
{
  "formula": "TaGa3Ru",
  "functional": "PBE",
  "state": "optimized geometry",
  "magnetic_moment_mub_per_fu": 0.0,
  "mass_density_g_cm3": 7.6,
  "dos_ef_per_ev_cell": 4.05,
  "cell": [[-1.762, 4.116, -1.576], [-4.322, -1.947, -0.251], [-0.864, 1.342, 4.470]],
  "species": ["Ru", "Ga", "Ga", "Ga", "Ta"],
  "frac_coords": [[0.000, 0.000, 0.000], [0.000, 0.500, 0.000], [0.000, 0.000, 0.500], [0.500, 0.000, 0.000], [0.500, 0.500, 0.500]]
}

***

Model b:
{
  "formula": "TaGa3Ru",
  "functional": "PBE",
  "state": "optimized geometry",
  "magnetic_moment_mub_per_fu": 2.0,
  "mass_density_g_cm3": 7.0,
  "dos_ef_per_ev_cell": 5.41,
  "cell": [[-4.686, -0.092, -1.349], [0.817, -4.068, -2.563], [-1.077, -2.688, 3.924]],
  "species": ["Ru", "Ga", "Ga", "Ga", "Ta"],
  "frac_coords": [[0.500, 0.500, 0.500], [0.000, 0.500, 0.000], [0.000, 0.000, 0.500], [0.500, 0.000, 0.000], [0.000, 0.000, 0.000]]
}

***

Top of the stability list: model a, leading by 495 meV per atom.